# K2BaMnO4, optimized geometry, DFT PBE+U
# * energy: -44.46 eV/cell
# * density: 3.9 Mg/m³
data_K2BaMnO4
_cell_length_a 6.344
_cell_length_b 5.220
_cell_length_c 6.652
_cell_angle_alpha 63.26
_cell_angle_beta 47.28
_cell_angle_gamma 69.46
_space_group_name_H-M_alt 'P 1'
_space_group_IT_number 1
loop_
_space_group_symop_operation_xyz
'x,y,z'
loop_
_atom_site_label
_atom_site_type_symbol
_atom_site_fract_x
_atom_site_fract_y
_atom_site_fract_z
_atom_site_occupancy
K1 K 0.000 0.000 0.500 1
K2 K 0.500 0.500 0.000 1
Ba1 Ba 0.339 0.339 0.661 1
Mn1 Mn 0.835 0.835 0.165 1
O1 O 0.178 0.820 0.822 1
O2 O 0.561 0.874 0.126 1
O3 O 0.820 0.178 0.180 1
O4 O 0.874 0.561 0.439 1